(1)
This record from the Alexandria database describes SnF3 after structural relaxation. The functional is PBE-GGA.

Properties
Electronic total energy, eV per atom: -4.1323
Energy relative to the elements, uncorrected, eV/atom: -1.728

Lattice parameters (Å, degrees): 3.8121 3.8121 14.8261 90.00 90.00 90.00
Closest atoms and distances in Å follow each position.
Space group I-42d (No. 122)
Asymmetric unit:
Sn: 0.0000 0.0000 0.0000 [4 per cell]  4 F 2.20
F: 0.0000 0.0000 0.5000 [4 per cell]  4 F 2.41, 4 Sn 2.70
F: 0.1836 0.2500 0.1250 [8 per cell]  2 Sn 2.20, 4 F 2.36-2.41



(2)
This record from the Alexandria database describes SnF after structural relaxation. The functional is PBE-GGA.

Properties
Electronic total energy, eV per atom: -3.8969
Energy relative to the elements, uncorrected, eV/atom: -0.960

Lattice parameters (Å, degrees): 7.1021 7.1021 7.1021 90.00 90.00 90.00
Closest atoms and distances in Å follow each position.
Space group Pm-3n (No. 223)
Asymmetric unit:
Sn: 0.0000 0.2500 0.5000 [6 per cell]  4 F 2.51
F: 0.0000 0.5000 0.2500 [6 per cell]  4 Sn 2.51



(3)
This record from the Alexandria database describes SnF3 after structural relaxation. The functional is PBE-GGA.

Properties
Electronic total energy, eV per atom: -3.8692
Energy relative to the elements, uncorrected, eV/atom: -1.465

Lattice parameters (Å, degrees): 3.9509 3.9509 18.2571 90.00 90.00 120.00
Closest atoms and distances in Å follow each position.
Space group R-3m (No. 166, hexagonal axes)
Asymmetric unit:
Sn: 0.0000 0.0000 0.0000 [3 per cell]  6 F 2.38
F: 0.0000 0.0000 0.3696 [6 per cell]  3 Sn 2.38, 4 F 2.38-2.64
F: 0.0000 0.0000 0.5000 [3 per cell]  2 F 2.38



(4)
This record from the Alexandria database describes SnF after structural relaxation. The functional is PBE-GGA.

Properties
Electronic total energy, eV per atom: -4.0098
Energy relative to the elements, uncorrected, eV/atom: -1.073

Lattice parameters (Å, degrees): 7.6046 7.6046 7.6046 90.00 90.00 90.00
Closest atoms and distances in Å follow each position.
Space group I-43m (No. 217)
Asymmetric unit:
Sn: 0.1859 0.1859 0.8141 [8 per cell]  4 F 2.45-2.49
F: 0.1248 0.1248 0.1248 [8 per cell]  4 Sn 2.45-2.49, 3 F 2.68



(5)
This record from the Alexandria database describes SnF after structural relaxation. The functional is PBE-GGA.

Properties
Electronic total energy, eV per atom: -4.4409
Energy relative to the elements, uncorrected, eV/atom: -1.504

Lattice parameters (Å, degrees): 3.2758 3.2758 8.6247 90.00 90.00 120.00
Closest atoms and distances in Å follow each position.
Space group P6_3mc (No. 186)
Asymmetric unit:
Sn: 0.3333 0.6667 0.0000 [2 per cell]  1 F 2.13
F: 0.3333 0.6667 0.7536 [2 per cell]  1 Sn 2.13



(6)
This record from the Alexandria database describes Sn2F3 after structural relaxation. The functional is PBE-GGA.

Properties
Electronic total energy, eV per atom: -4.6257
Energy relative to the elements, uncorrected, eV/atom: -1.902

Lattice parameters (Å, degrees): 6.1797 8.5094 4.4034 90.00 90.00 90.00
Closest atoms and distances in Å follow each position.
Space group Cmmm (No. 65)
Asymmetric unit:
Sn: 0.0000 0.2480 0.0000 [4 per cell]  3 F 2.14-2.22
F: 0.0000 0.2840 0.5000 [4 per cell]  2 Sn 2.22
F: 0.0000 0.5000 0.0000 [2 per cell]  2 Sn 2.14



(7)
This record from the Alexandria database describes SnF3 after structural relaxation. The functional is PBE-GGA.

Properties
Electronic total energy, eV per atom: -4.7886
Energy relative to the elements, uncorrected, eV/atom: -2.384

Lattice parameters (Å, degrees): 4.1522 8.4515 8.7473 87.70 87.46 75.82
Closest atoms and distances in Å follow each position.
Space group P-1 (No. 2)
Asymmetric unit:
Sn: 0.1152 0.2570 0.2183 [2 per cell]  4 F 2.18-2.41
Sn: 0.1567 0.2484 0.7271 [2 per cell]  6 F 1.96-2.08
F: 0.0414 0.4862 0.6722 [2 per cell]  1 Sn 1.99
F: 0.1057 0.3083 0.9458 [2 per cell]  1 Sn 1.99
F: 0.1997 0.1990 0.5077 [2 per cell]  1 Sn 1.97
F: 0.2686 0.0160 0.7892 [2 per cell]  1 Sn 1.96
F: 0.3427 0.7530 0.2733 [2 per cell]  2 Sn 2.08
F: 0.4444 0.6468 0.8176 [2 per cell]  2 Sn 2.18-2.30



(8)
This record from the Alexandria database describes SnF5 after structural relaxation. The functional is PBE-GGA.

Properties
Electronic total energy, eV per atom: -4.0708
Energy relative to the elements, uncorrected, eV/atom: -1.844

Lattice parameters (Å, degrees): 6.8688 6.8688 4.1476 90.00 90.00 90.00
Closest atoms and distances in Å follow each position.
Space group I4/m (No. 87)
Asymmetric unit:
Sn: 0.0000 0.0000 0.0000 [2 per cell]  6 F 1.98-2.07
F: 0.0000 0.0000 0.5000 [2 per cell]  2 Sn 2.07
F: 0.1092 0.2665 0.0000 [8 per cell]  1 Sn 1.98



no.,total magnetic moment (μB/cell)
1,0.0
2,0.0
3,3.0
4,0.0
5,0.0
6,0.0
7,0.0
8,2.0